(1)
Density functional theory data (PBE-GGA) for a relaxed structure of Mg2Ni2B.

It has space group P4/mbm (No. 127), with a = 5.457 Å, b = 5.457 Å, c = 4.278 Å, α = 90.00°, β = 90.00° and γ = 90.00°. The distinct sites, in fractional coordinates, are Mg at (0.172, 0.328, 0.000), Ni at (0.160, 0.660, 0.500) and B at (0.000, 0.000, 0.500).

For the total energy, the calculation gives -44.0 eV per cell. The formation energy from the elements is -0.109 eV per atom. The magnetic moment comes out at 0.0 μB/cell. Its crystal system is tetragonal. For the density, the calculation gives 4.61 g/cm3.


(2)
Density functional theory data (PBE-GGA) for a relaxed structure of Mg14NiB.

It has space group Amm2 (No. 38), with a = 9.552 Å, b = 6.528 Å, c = 10.734 Å, α = 90.00°, β = 90.00° and γ = 90.00°. The distinct sites, in fractional coordinates, are Mg at (0.000, 0.000, 0.000), Mg at (0.000, 0.000, 0.496), Mg at (0.000, 0.246, 0.738), Mg at (0.249, 0.000, 0.317), Mg at (0.253, 0.000, 0.826), Mg at (0.316, 0.238, 0.562), Mg at (0.500, 0.243, 0.295), Ni at (0.500, 0.000, 0.976) and B at (0.500, 0.000, 0.465).

For the total energy, the calculation gives -65.3 eV per cell. The formation energy from the elements is 0.133 eV per atom. The magnetic moment comes out at 0.0 μB/cell. The calculation puts the energy above the most stable polymorph in this dataset at 0 meV/atom. Its crystal system is orthorhombic. For the density, the calculation gives 2.03 g/cm3.